The following is a DFT calculation (PBE) of crystalline LaBiPb at its relaxed geometry.

Values from the calculation:
Size of the total moment, Bohr magnetons per cell: 0.00
Excess energy over the best structure of this formula in the dataset, meV/atom: 0
Symmetry: No. 63
N(E_F), states/eV per cell: 4.2
Volume, Å³/cell: 191.5

Unit cell a=4.663 b=4.704 c=9.040 alpha=105.08 beta=90.00 gamma=90.00
Positions (direct):
La 0.250 0.097 0.194
La 0.750 0.903 0.806
Bi 0.250 0.427 0.854
Bi 0.750 0.573 0.146
Pb 0.250 0.750 0.499
Pb 0.750 0.250 0.501